Cu2PSe: relaxed, PBE.

abc: 4.5974 4.5974 4.5974
angles: 126.85 126.85 78.50
Last column: nearest neighbours and their distance in Å.
Fractional positions:
Cu 0.0000 0.0000 0.0000  4 P 2.72, 4 Se 2.72, 4 Cu 2.91
P 0.2500 0.7500 0.5000  8 Cu 2.72, 4 Se 2.91
Se 0.7500 0.2500 0.5000  8 Cu 2.72, 4 P 2.91
Cu 0.5000 0.5000 0.0000  4 Se 2.72, 4 P 2.72, 4 Cu 2.91

Computed properties:
Energy   -0.1423 hartree per atom
Theoretical density   6.53 Mg/m³
Symmetry   I4/mmm

***

TcIr2Pt: relaxed, PBE.

abc: 4.4210 4.4210 4.4210
angles: 60.00 60.00 60.00
Last column: nearest neighbours and their distance in Å.
Fractional positions:
Pt 0.5000 0.5000 0.5000  8 Ir 2.71
Ir 0.2500 0.2500 0.2500  4 Tc 2.71, 4 Pt 2.71
Ir 0.7500 0.7500 0.7500  4 Tc 2.71, 4 Pt 2.71
Tc 0.0000 0.0000 0.0000  8 Ir 2.71

Computed properties:
Energy above the lowest structure with this stoichiometry   51.1 kJ/mol of atoms
Theoretical density   18.41 Mg/m³
Energy of formation from the pure elements   388 meV/atom
Symmetry   Fm-3m

***

AlF: relaxed, PBE.

abc: 6.8661 6.8661 6.8661
angles: 90.00 90.00 90.00
Last column: nearest neighbours and their distance in Å.
Fractional positions:
F 0.0000 0.2500 0.5000  4 Al 2.43
F 0.2500 0.5000 0.0000  4 Al 2.43
F 0.5000 0.0000 0.2500  4 Al 2.43
Al 0.5000 0.2500 0.0000  4 F 2.43
F 0.0000 0.7500 0.5000  4 Al 2.43
F 0.7500 0.5000 0.0000  4 Al 2.43
Al 0.0000 0.5000 0.7500  4 F 2.43
Al 0.0000 0.5000 0.2500  4 F 2.43
Al 0.7500 0.0000 0.5000  4 F 2.43
Al 0.5000 0.7500 0.0000  4 F 2.43
Al 0.2500 0.0000 0.5000  4 F 2.43
F 0.5000 0.0000 0.7500  4 Al 2.43

Computed properties:
Energy   -0.1411 hartree per atom
Theoretical density   1.42 Mg/m³
Symmetry   Pm-3n

***

Which of these has the highest theoretical density? TcIr2Pt